No. 1
Sb2TePbF: optimized geometry, GGA-PBE. Values from VASP.

The structure in Quantum ESPRESSO input format:
```
&SYSTEM
  ibrav = 0, nat = 5, ntyp = 4
/
ATOMIC_SPECIES
Pb 207.20 Pb.upf
Sb 121.76 Sb.upf
Te 127.60 Te.upf
F 19.00 F.upf
CELL_PARAMETERS angstrom
-2.944 -3.572 -1.837
3.963 -2.953 -0.611
-0.808 -2.261 5.690
ATOMIC_POSITIONS angstrom
Pb 0.106 -4.393 1.621
Sb 1.982 -1.476 -0.306
Sb -1.472 -1.786 -0.919
Te -0.404 -1.131 2.845
F 0.000 0.000 0.000
```

Summary:
Calculated volume = 153.15 Å³ per cell
ΔE_f (raw) = -0.15 eV/atom
Relative energy among the computed polymorphs = 0.0 meV per atom
E_tot = -17.73 eV/f.u.
Space group = P4/mmm (123)

=====

No. 2
CsNp2TiO8: optimized geometry, GGA-PBE. Values from VASP.

The structure in Quantum ESPRESSO input format:
```
&SYSTEM
  ibrav = 0, nat = 12, ntyp = 4
/
ATOMIC_SPECIES
Cs 132.91 Cs.upf
Np 237.00 Np.upf
Ti 47.87 Ti.upf
O 16.00 O.upf
CELL_PARAMETERS angstrom
4.656 -0.053 -0.050
0.009 4.692 0.258
-0.034 0.400 9.708
ATOMIC_POSITIONS angstrom
Cs -0.017 0.200 4.854
Np 2.050 2.582 8.089
Np 2.581 2.457 1.827
Ti 0.000 0.000 0.000
O 0.869 3.611 1.684
O 3.195 3.667 9.772
O 3.744 0.785 1.491
O 3.762 1.428 8.232
O 1.436 1.372 0.145
O 0.887 4.254 8.425
O 2.506 3.217 6.387
O 2.125 1.822 3.530
```

Summary:
Calculated volume = 211.57 Å³ per cell
ΔE_f (raw) = -2.59 eV/atom
E_tot = -105.37 eV/f.u.
Space group = P-1 (2)

=====

- Which of these has the lowest E_tot?
  CsNp2TiO8

=====

Copy entry 1 word for word.
Sb2TePbF: optimized geometry, GGA-PBE. Values from VASP.

The structure in Quantum ESPRESSO input format:
```
&SYSTEM
  ibrav = 0, nat = 5, ntyp = 4
/
ATOMIC_SPECIES
Pb 207.20 Pb.upf
Sb 121.76 Sb.upf
Te 127.60 Te.upf
F 19.00 F.upf
CELL_PARAMETERS angstrom
-2.944 -3.572 -1.837
3.963 -2.953 -0.611
-0.808 -2.261 5.690
ATOMIC_POSITIONS angstrom
Pb 0.106 -4.393 1.621
Sb 1.982 -1.476 -0.306
Sb -1.472 -1.786 -0.919
Te -0.404 -1.131 2.845
F 0.000 0.000 0.000
```

Summary:
Calculated volume = 153.15 Å³ per cell
ΔE_f (raw) = -0.15 eV/atom
Relative energy among the computed polymorphs = 0.0 meV per atom
E_tot = -17.73 eV/f.u.
Space group = P4/mmm (123)

=====

- Look up the E_tot of the second one.
  -105.37 eV/f.u.

=====

Repeat the first record exactly.
Sb2TePbF: optimized geometry, GGA-PBE. Values from VASP.

The structure in Quantum ESPRESSO input format:
```
&SYSTEM
  ibrav = 0, nat = 5, ntyp = 4
/
ATOMIC_SPECIES
Pb 207.20 Pb.upf
Sb 121.76 Sb.upf
Te 127.60 Te.upf
F 19.00 F.upf
CELL_PARAMETERS angstrom
-2.944 -3.572 -1.837
3.963 -2.953 -0.611
-0.808 -2.261 5.690
ATOMIC_POSITIONS angstrom
Pb 0.106 -4.393 1.621
Sb 1.982 -1.476 -0.306
Sb -1.472 -1.786 -0.919
Te -0.404 -1.131 2.845
F 0.000 0.000 0.000
```

Summary:
Calculated volume = 153.15 Å³ per cell
ΔE_f (raw) = -0.15 eV/atom
Relative energy among the computed polymorphs = 0.0 meV per atom
E_tot = -17.73 eV/f.u.
Space group = P4/mmm (123)